# PBE SnGe3O, optimized geometry
data_SnGe3O
_cell_length_a 5.315
_cell_length_b 5.315
_cell_length_c 5.315
_cell_angle_alpha 90.00
_cell_angle_beta 90.00
_cell_angle_gamma 90.00
_symmetry_space_group_name_H-M 'P 1'
_symmetry_Int_Tables_number 1
loop_
_symmetry_equiv_pos_as_xyz
'x,y,z'
loop_
_atom_site_label
_atom_site_fract_x
_atom_site_fract_y
_atom_site_fract_z
Sn1 0.000 0.000 0.000
Ge1 0.000 0.000 0.500
Ge2 0.000 0.500 0.000
Ge3 0.500 0.000 0.000
O1 0.500 0.500 0.500
# Raw formation energy, eV per atom: 1.31
# Energy above the lowest structure with this stoichiometry, meV/atom: 1350


# PBE SnGeO3, optimized geometry
data_SnGeO3
_cell_length_a 7.637
_cell_length_b 7.637
_cell_length_c 7.637
_cell_angle_alpha 40.82
_cell_angle_beta 40.82
_cell_angle_gamma 40.82
_symmetry_space_group_name_H-M 'P 1'
_symmetry_Int_Tables_number 1
loop_
_symmetry_equiv_pos_as_xyz
'x,y,z'
loop_
_atom_site_label
_atom_site_fract_x
_atom_site_fract_y
_atom_site_fract_z
Sn1 0.167 0.167 0.167
Sn2 0.833 0.833 0.833
Ge1 0.402 0.402 0.402
Ge2 0.598 0.598 0.598
O1 0.111 0.446 0.781
O2 0.219 0.889 0.554
O3 0.446 0.781 0.111
O4 0.554 0.219 0.889
O5 0.781 0.111 0.446
O6 0.889 0.554 0.219
# Raw formation energy, eV per atom: -1.39